Compound: Ba3NiCl2F6
Source: the Alexandria database
Functional: GGA+U
Structure: relaxed

Structure (extended XYZ):
```
12
Lattice="5.4073 0.0000 0.5065 0.0000 7.4344 0.0000 -0.0694 -3.7172 6.8121" Properties=species:S:1:pos:R:3 pbc="T T T"
F 3.7232 5.6916 1.2032
F 3.7232 1.7428 1.2032
Ba 0.0000 3.7172 0.0000
Cl 4.9886 0.0000 4.3568
Ba 2.6690 -1.8586 3.6593
F 3.4947 3.7172 5.2956
F 1.8432 0.0000 2.0230
F 1.6147 -1.9744 6.1154
Ni 2.7037 0.0000 0.2532
F 1.6147 1.9744 6.1154
Ba 2.6690 1.8586 3.6593
Cl 0.3493 3.7172 2.9618
```

Summary:
E_tot ... -57.974 eV/cell
Total magnetization ... 1.93 μB/cell
DOS at the Fermi energy ... 0.0000 states/eV per atom